# 1
DFT (PBE) results for a geometry-optimized KAlCl2 structure.

a = 4.413 Å, b = 4.413 Å, c = 6.207 Å
α = 90.00°, β = 90.00°, γ = 90.00°
Sites, in units of the cell vectors:
K (0.000, 0.000, 0.000)
Al (0.500, 0.500, 0.500)
Cl (0.000, 0.000, 0.500)
Cl (0.500, 0.500, 0.000)

Computed properties:
The formation energy from raw total energies comes out at -1.11 eV/atom. For the final energy, the calculation gives -12.96 eV for the cell shown. Its space group is No. 123.


# 2
DFT (PBE) results for a geometry-optimized KAlCl2 structure.

a = 3.838 Å, b = 3.927 Å, c = 7.753 Å
α = 90.00°, β = 90.07°, γ = 90.00°
Sites, in units of the cell vectors:
K (0.000, 0.000, 0.000)
Al (0.500, 0.000, 0.500)
Cl (0.500, 0.500, 0.235)
Cl (0.500, 0.500, 0.765)

Computed properties:
The formation energy from raw total energies comes out at -1.06 eV/atom. For the final energy, the calculation gives -12.76 eV for the cell shown. Its space group is No. 10.


# 3
DFT (PBE) results for a geometry-optimized KAlCl4 structure.

a = 8.170 Å, b = 8.170 Å, c = 8.170 Å
α = 104.40°, β = 104.40°, γ = 120.17°
Sites, in units of the cell vectors:
K (0.375, 0.625, 0.750)
K (0.625, 0.375, 0.250)
Al (0.125, 0.875, 0.250)
Al (0.875, 0.125, 0.750)
Cl (0.139, 0.716, 0.423)
Cl (0.207, 0.284, 0.923)
Cl (0.284, 0.207, 0.423)
Cl (0.284, 0.861, 0.077)
Cl (0.716, 0.139, 0.923)
Cl (0.716, 0.793, 0.577)
Cl (0.793, 0.716, 0.077)
Cl (0.861, 0.284, 0.577)

Computed properties:
The formation energy from raw total energies comes out at -1.76 eV/atom. For the final energy, the calculation gives -45.53 eV for the cell shown. Its space group is No. 141.


# 4
DFT (PBE) results for a geometry-optimized KAl3Cl structure.

a = 6.203 Å, b = 6.203 Å, c = 6.203 Å
α = 90.00°, β = 90.00°, γ = 90.00°
Sites, in units of the cell vectors:
K (0.000, 0.000, 0.000)
Al (0.000, 0.000, 0.500)
Al (0.000, 0.500, 0.000)
Al (0.500, 0.000, 0.000)
Cl (0.500, 0.500, 0.500)

Computed properties:
The formation energy from raw total energies comes out at 1.24 eV/atom. For the final energy, the calculation gives -7.96 eV for the cell shown. Its space group is No. 221.


# 5
DFT (PBE) results for a geometry-optimized KAlCl2 structure.

a = 5.371 Å, b = 5.371 Å, c = 5.371 Å
α = 60.00°, β = 60.00°, γ = 60.00°
Sites, in units of the cell vectors:
K (0.000, 0.000, 0.000)
Al (0.250, 0.250, 0.250)
Cl (0.500, 0.500, 0.500)
Cl (0.750, 0.750, 0.750)

Computed properties:
The formation energy from raw total energies comes out at -0.63 eV/atom. For the final energy, the calculation gives -11.05 eV for the cell shown. Its space group is No. 216.


# 6
DFT (PBE) results for a geometry-optimized KAlCl2 structure.

a = 6.377 Å, b = 6.377 Å, c = 4.776 Å
α = 91.48°, β = 91.48°, γ = 37.79°
Sites, in units of the cell vectors:
K (0.000, 0.000, 0.000)
Al (0.770, 0.770, 0.493)
Cl (0.265, 0.265, 0.118)
Cl (0.572, 0.572, 0.505)

Computed properties:
The formation energy from raw total energies comes out at -1.16 eV/atom. For the final energy, the calculation gives -13.18 eV for the cell shown. Its space group is No. 8.


# 7
DFT (PBE) results for a geometry-optimized KAlCl4 structure.

a = 7.302 Å, b = 10.371 Å, c = 12.346 Å
α = 90.00°, β = 126.10°, γ = 90.00°
Sites, in units of the cell vectors:
K (0.062, 0.247, 0.248)
K (0.062, 0.253, 0.748)
K (0.938, 0.747, 0.252)
K (0.938, 0.753, 0.752)
Al (0.432, 0.003, 0.682)
Al (0.432, 0.497, 0.182)
Al (0.568, 0.503, 0.818)
Al (0.568, 0.997, 0.318)
Cl (0.205, 0.536, 0.692)
Cl (0.205, 0.964, 0.192)
Cl (0.247, 0.170, 0.561)
Cl (0.247, 0.330, 0.061)
Cl (0.319, 0.530, 0.308)
Cl (0.319, 0.970, 0.808)
Cl (0.377, 0.664, 0.062)
Cl (0.377, 0.836, 0.562)
Cl (0.623, 0.164, 0.438)
Cl (0.623, 0.336, 0.938)
Cl (0.681, 0.030, 0.192)
Cl (0.681, 0.470, 0.692)
Cl (0.753, 0.670, 0.939)
Cl (0.753, 0.830, 0.439)
Cl (0.795, 0.036, 0.808)
Cl (0.795, 0.464, 0.308)

Computed properties:
The formation energy from raw total energies comes out at -1.77 eV/atom. For the final energy, the calculation gives -91.29 eV for the cell shown. Its space group is No. 14.


# 8
DFT (PBE) results for a geometry-optimized KAlCl4 structure.

a = 9.700 Å, b = 6.378 Å, c = 6.519 Å
α = 90.00°, β = 90.00°, γ = 90.00°
Sites, in units of the cell vectors:
K (0.000, 0.192, 0.000)
K (0.500, 0.808, 0.500)
Al (0.000, 0.664, 0.486)
Al (0.500, 0.336, 0.986)
Cl (0.000, 0.327, 0.528)
Cl (0.000, 0.713, 0.158)
Cl (0.179, 0.801, 0.630)
Cl (0.321, 0.199, 0.130)
Cl (0.500, 0.287, 0.658)
Cl (0.500, 0.673, 0.028)
Cl (0.679, 0.199, 0.130)
Cl (0.821, 0.801, 0.630)

Computed properties:
The formation energy from raw total energies comes out at -1.76 eV/atom. For the final energy, the calculation gives -45.57 eV for the cell shown. Its space group is No. 31.


# 9
DFT (PBE) results for a geometry-optimized KAlCl2 structure.

a = 8.930 Å, b = 8.930 Å, c = 8.930 Å
α = 29.75°, β = 29.75°, γ = 29.75°
Sites, in units of the cell vectors:
K (0.000, 0.000, 0.000)
Al (0.500, 0.500, 0.500)
Cl (0.401, 0.401, 0.401)
Cl (0.599, 0.599, 0.599)

Computed properties:
The formation energy from raw total energies comes out at -1.02 eV/atom. For the final energy, the calculation gives -12.60 eV for the cell shown. Its space group is No. 166.


# 10
DFT (PBE) results for a geometry-optimized K6Al3Cl14 structure.

a = 11.106 Å, b = 11.106 Å, c = 6.601 Å
α = 90.00°, β = 90.00°, γ = 120.00°
Sites, in units of the cell vectors:
K (0.052, 0.562, 0.000)
K (0.316, 0.121, 0.472)
K (0.438, 0.489, 0.000)
K (0.511, 0.948, 0.000)
K (0.805, 0.684, 0.472)
K (0.879, 0.195, 0.472)
Al (0.000, 0.000, 0.914)
Al (0.333, 0.667, 0.371)
Al (0.667, 0.333, 0.824)
Cl (0.000, 0.000, 0.243)
Cl (0.086, 0.877, 0.797)
Cl (0.123, 0.209, 0.797)
Cl (0.192, 0.423, 0.329)
Cl (0.232, 0.808, 0.329)
Cl (0.333, 0.667, 0.715)
Cl (0.464, 0.212, 0.025)
Cl (0.546, 0.413, 0.616)
Cl (0.577, 0.768, 0.329)
Cl (0.587, 0.134, 0.616)
Cl (0.748, 0.536, 0.025)
Cl (0.788, 0.252, 0.025)
Cl (0.791, 0.914, 0.797)
Cl (0.866, 0.454, 0.616)

Computed properties:
The formation energy from raw total energies comes out at -1.70 eV/atom. For the final energy, the calculation gives -82.79 eV for the cell shown. Its space group is No. 143.


# 11
DFT (PBE) results for a geometry-optimized KLiAl2Cl8 structure.

a = 10.066 Å, b = 10.066 Å, c = 10.066 Å
α = 36.95°, β = 36.95°, γ = 36.95°
Sites, in units of the cell vectors:
K (0.000, 0.000, 0.000)
Li (0.500, 0.500, 0.500)
Al (0.246, 0.246, 0.246)
Al (0.754, 0.754, 0.754)
Cl (0.102, 0.773, 0.455)
Cl (0.227, 0.545, 0.898)
Cl (0.323, 0.323, 0.323)
Cl (0.455, 0.102, 0.773)
Cl (0.545, 0.898, 0.227)
Cl (0.677, 0.677, 0.677)
Cl (0.773, 0.455, 0.102)
Cl (0.898, 0.227, 0.545)

Computed properties:
The formation energy from raw total energies comes out at -1.68 eV/atom. For the final energy, the calculation gives -45.49 eV for the cell shown. Its space group is No. 148.


# 12
DFT (PBE) results for a geometry-optimized KMgAlCl6 structure.

a = 6.368 Å, b = 6.368 Å, c = 14.012 Å
α = 90.00°, β = 90.00°, γ = 120.00°
Sites, in units of the cell vectors:
K (0.000, 0.000, 0.000)
K (0.000, 0.000, 0.500)
Mg (0.333, 0.667, 0.250)
Mg (0.667, 0.333, 0.750)
Al (0.333, 0.667, 0.750)
Al (0.667, 0.333, 0.250)
Cl (0.020, 0.380, 0.652)
Cl (0.020, 0.639, 0.848)
Cl (0.361, 0.380, 0.848)
Cl (0.361, 0.980, 0.652)
Cl (0.380, 0.020, 0.152)
Cl (0.380, 0.361, 0.348)
Cl (0.620, 0.639, 0.652)
Cl (0.620, 0.980, 0.848)
Cl (0.639, 0.020, 0.348)
Cl (0.639, 0.620, 0.152)
Cl (0.980, 0.361, 0.152)
Cl (0.980, 0.620, 0.348)

Computed properties:
The formation energy from raw total energies comes out at -1.75 eV/atom. For the final energy, the calculation gives -66.47 eV for the cell shown. Its space group is No. 163.